{
  "formula": "Ac2YAs3Pt12",
  "functional": "PBE",
  "state": "optimized geometry",
  "lattice_angstrom": [[-2.7491, 2.8166, 6.9861], [1.0491, -4.7837, 6.3492], [5.5808, 2.3484, 5.2570]],
  "species": ["Pt", "Ac", "Ac", "Pt", "Pt", "As", "Pt", "As", "Pt", "Pt", "Pt", "As", "Pt", "Pt", "Y", "Pt", "Pt", "Pt"],
  "frac_coords": [[0.8932, 0.3502, 0.3502], [0.3934, 0.3934, 0.3934], [0.6066, 0.6066, 0.6066], [0.8619, 0.8619, 0.3919], [0.8619, 0.3919, 0.8619], [0.5000, 0.0000, 0.0000], [0.1068, 0.6498, 0.6498], [0.0000, 0.5000, 0.0000], [0.3919, 0.8619, 0.8619], [0.6498, 0.6498, 0.1068], [0.3502, 0.8932, 0.3502], [0.0000, 0.0000, 0.5000], [0.1381, 0.1381, 0.6081], [0.6081, 0.1381, 0.1381], [0.0000, 0.0000, 0.0000], [0.6498, 0.1068, 0.6498], [0.1381, 0.6081, 0.1381], [0.3502, 0.3502, 0.8932]],
  "volume_a3_per_atom": 22.1,
  "sg": "No. 166",
  "ef_kj_per_mol_atoms": -32.94,
  "magnetic_moment_mub_per_atom": 0.000,
  "crystal_system": "trigonal",
  "dft_energy_ev_per_fu": -107.265
}


{
  "formula": "Ac2YAs4Pt3",
  "functional": "PBE",
  "state": "optimized geometry",
  "lattice_angstrom": [[-3.9859, -1.9780, 0.9591], [2.1865, -3.7722, 1.3075], [0.5418, 3.8387, 10.1689]],
  "species": ["Pt", "As", "As", "Ac", "As", "Y", "Pt", "Ac", "As", "Pt"],
  "frac_coords": [[0.0000, 0.0000, 0.5000], [0.5000, 0.5000, 0.0000], [0.5000, 0.0000, 0.6521], [0.5000, 0.0000, 0.2245], [0.0000, 0.0000, 0.0000], [0.5000, 0.5000, 0.5000], [0.5000, 0.0000, 0.8893], [0.0000, 0.5000, 0.7755], [0.0000, 0.5000, 0.3479], [0.0000, 0.5000, 0.1107]],
  "volume_a3_per_atom": 22.5,
  "sg": "No. 115",
  "ef_kj_per_mol_atoms": -99.11,
  "magnetic_moment_mub_per_atom": 0.000,
  "crystal_system": "tetragonal",
  "dft_energy_ev_per_fu": -61.673
}


{
  "formula": "Ac3ZnAs2Pt9",
  "functional": "PBE",
  "state": "optimized geometry",
  "lattice_angstrom": [[6.4550, 0.0000, 0.0000], [-3.2275, 5.5902, 0.0000], [0.0000, 0.0000, 9.5761]],
  "species": ["Pt", "Ac", "Pt", "Pt", "Ac", "Pt", "As", "Pt", "As", "Pt", "Pt", "Pt", "Pt", "Zn", "Ac"],
  "frac_coords": [[0.1409, 0.8591, 0.2894], [0.0000, 0.0000, 0.0000], [0.7183, 0.8591, 0.2894], [0.2817, 0.1409, 0.7106], [0.6667, 0.3333, 0.3020], [0.8591, 0.1409, 0.7106], [0.6667, 0.3333, 0.8179], [0.1409, 0.2817, 0.2894], [0.3333, 0.6667, 0.1821], [0.5000, 0.5000, 0.0000], [0.8591, 0.7183, 0.7106], [0.5000, 0.0000, 0.0000], [0.0000, 0.5000, 0.0000], [0.0000, 0.0000, 0.5000], [0.3333, 0.6667, 0.6980]],
  "volume_a3_per_atom": 23.0,
  "sg": "No. 164",
  "ef_kj_per_mol_atoms": -64.64,
  "magnetic_moment_mub_per_atom": 0.000,
  "crystal_system": "trigonal",
  "dft_energy_ev_per_fu": -87.314
}


{
  "formula": "Ac2ZnAs4Pt3",
  "functional": "PBE",
  "state": "optimized geometry",
  "lattice_angstrom": [[4.6054, 0.0000, 0.0000], [0.0000, 4.6054, 0.0000], [0.0000, 0.0000, 9.9389]],
  "species": ["Pt", "As", "Pt", "Ac", "As", "As", "Ac", "Zn", "As", "Pt"],
  "frac_coords": [[0.0000, 0.0000, 0.5000], [0.0000, 0.0000, 0.0000], [0.0000, 0.5000, 0.1147], [0.5000, 0.0000, 0.2483], [0.5000, 0.5000, 0.0000], [0.0000, 0.5000, 0.3715], [0.0000, 0.5000, 0.7517], [0.5000, 0.5000, 0.5000], [0.5000, 0.0000, 0.6285], [0.5000, 0.0000, 0.8853]],
  "volume_a3_per_atom": 21.1,
  "sg": "No. 115",
  "ef_kj_per_mol_atoms": -84.29,
  "magnetic_moment_mub_per_atom": 0.000,
  "crystal_system": "tetragonal",
  "dft_energy_ev_per_fu": -54.947
}


{
  "formula": "Ac2ZnAsPt6",
  "functional": "PBE",
  "state": "optimized geometry",
  "lattice_angstrom": [[-5.3327, -0.6873, -1.4749], [0.6341, -8.3647, 1.6052], [-3.6444, -3.5891, 4.3103]],
  "species": ["Pt", "Pt", "As", "Pt", "Pt", "Zn", "Ac", "Pt", "Pt", "Ac"],
  "frac_coords": [[0.2398, 0.7372, 0.0141], [0.7461, 0.7372, 0.0141], [0.5000, 0.5000, 0.0000], [0.2471, 0.3851, 0.5058], [0.7602, 0.2628, 0.9859], [0.0000, 0.0000, 0.0000], [0.2604, 0.8000, 0.4793], [0.2539, 0.2628, 0.9859], [0.7529, 0.6149, 0.4942], [0.7396, 0.2000, 0.5207]],
  "volume_a3_per_atom": 21.6,
  "sg": "No. 12",
  "ef_kj_per_mol_atoms": -79.34,
  "magnetic_moment_mub_per_atom": 0.000,
  "crystal_system": "monoclinic",
  "dft_energy_ev_per_fu": -58.608
}


{
  "formula": "AcPuAs2",
  "functional": "PBE",
  "state": "optimized geometry",
  "lattice_angstrom": [[-1.7655, -0.7415, 3.9048], [2.5276, -1.1547, 3.3455], [1.1296, 6.1784, 4.1059]],
  "species": ["Pu", "As", "As", "Ac"],
  "frac_coords": [[0.0000, 0.0000, 0.0000], [0.7409, 0.7409, 0.7774], [0.2591, 0.2591, 0.2226], [0.5000, 0.5000, 0.5000]],
  "e_above_lowest_polymorph_kj_per_mol_atoms": 0.0,
  "volume_a3_per_atom": 29.0,
  "sg": "No. 166",
  "ef_kj_per_mol_atoms": -116.61,
  "magnetic_moment_mub_per_atom": 1.241,
  "crystal_system": "trigonal",
  "dft_energy_ev_per_fu": -32.574
}